Entry from Alexandria: a geometry-optimized InMoRu2 structure (PBE-GGA).

a b c (Å): 4.120 2.861 6.143
angles (deg): 62.41 90.00 90.00
Positions (direct):
1 Mo 0.500 0.725 0.786
2 In 0.000 0.517 0.485
3 Ru 0.000 0.003 0.985
4 Ru 0.500 0.255 0.244

## Properties
As for the symmetry: Pm, No. 6. Its crystal system is monoclinic. For the formation enthalpy at 0 K, the calculation gives 212.4 meV per atom. Its density is 10.7 g cm⁻³.